[1]
The following is a PBE calculation of a relaxed structure of Cu2Hg2Te, from Alexandria via LeMat-Bulk. Values from VASP.

The calculation puts the offset from the most stable computed form at 12 meV/atom. As for the space-group type: I4/mmm. The calculation puts the volume at 21.29 Å³ per atom. Its raw formation energy is 0.21 eV per atom. Its density is 10.23 Mg/m³. For the density of states at the Fermi level, the calculation gives 2.34 states/eV/cell. Its calculated total energy is -2.174 eV per atom.

```
&SYSTEM
  ibrav = 0, nat = 5, ntyp = 3
/
ATOMIC_SPECIES
Hg 200.59 Hg.upf
Te 127.60 Te.upf
Cu 63.55 Cu.upf
ATOMIC_POSITIONS crystal
Hg 0.6237 0.6237 0.7526
Hg 0.3763 0.3763 0.2474
Te 0.0000 0.0000 0.0000
Cu 0.2500 0.7500 0.5000
Cu 0.7500 0.2500 0.5000
CELL_PARAMETERS angstrom
3.5817 0.0000 0.0000
0.0000 3.5817 0.0000
1.7908 1.7908 8.2968
```



[2]
The following is a PBE calculation of a relaxed structure of CuHgTe, from Alexandria via LeMat-Bulk. Values from VASP.

The calculation puts the offset from the most stable computed form at 92 meV/atom. As for the space-group type: Imm2. The calculation puts the volume at 28.27 Å³ per atom. Its raw formation energy is 0.11 eV per atom. Its density is 7.67 Mg/m³. For the density of states at the Fermi level, the calculation gives 1.45 states/eV/cell. Its calculated total energy is -2.406 eV per atom.

```
&SYSTEM
  ibrav = 0, nat = 3, ntyp = 3
/
ATOMIC_SPECIES
Cu 63.55 Cu.upf
Hg 200.59 Hg.upf
Te 127.60 Te.upf
ATOMIC_POSITIONS crystal
Cu 0.1089 0.1089 0.0000
Hg 0.3216 0.3216 0.0000
Te 0.5695 0.5695 0.0000
CELL_PARAMETERS angstrom
6.6476 0.0907 0.0952
4.4905 4.9025 -0.0952
-5.5427 -2.5555 2.6375
```



[3]
The following is a PBE calculation of a relaxed structure of CuHg2Te2, from Alexandria via LeMat-Bulk. Values from VASP.

As for the space-group type: P4/mbm. The calculation puts the volume at 28.26 Å³ per atom. Its raw formation energy is 0.14 eV per atom. Its density is 8.46 Mg/m³. For the density of states at the Fermi level, the calculation gives 4.60 states/eV/cell. Its calculated total energy is -2.054 eV per atom.

```
&SYSTEM
  ibrav = 0, nat = 10, ntyp = 3
/
ATOMIC_SPECIES
Cu 63.55 Cu.upf
Hg 200.59 Hg.upf
Te 127.60 Te.upf
ATOMIC_POSITIONS crystal
Cu 0.5000 0.5000 0.0000
Cu 0.0000 0.0000 0.0000
Hg 0.3735 0.1265 0.5000
Hg 0.8735 0.3735 0.5000
Hg 0.6265 0.8735 0.5000
Hg 0.1265 0.6265 0.5000
Te 0.2161 0.2839 0.0000
Te 0.2839 0.7839 0.0000
Te 0.7839 0.7161 0.0000
Te 0.7161 0.2161 0.0000
CELL_PARAMETERS angstrom
-7.3617 -2.0950 -1.3381
2.3707 -4.6585 -5.7491
0.4505 -3.5277 3.0443
```